Record 1
Here is crystalline Pm4OsSe2Br at its relaxed geometry from the Alexandria database. Energies are from GGA-PBE.

Lattice parameters (Å, degrees): 7.398 4.105 7.481 90.00 107.23 90.00
Space group P2/m (No. 10)
Symmetry-distinct sites (fractional):
Pm  0.233  0.000  0.222 [2 per cell]
Pm  0.248  0.500  0.782 [2 per cell]
Os  0.000  0.500  0.000 [1 per cell]
Se  0.500  0.000  0.000 [1 per cell]
Se  0.500  0.500  0.500 [1 per cell]
Br  0.000  0.000  0.500 [1 per cell]

Record 2
Here is crystalline Pm8Si3OsBr4 at its relaxed geometry from the Alexandria database. Energies are from GGA-PBE.

Lattice parameters (Å, degrees): 8.4744 8.4744 22.1175 90.00 90.00 120.00
Space group R-3m (No. 166, hexagonal axes)
Symmetry-distinct sites (fractional):
Pm  0.0000  0.0000  0.2370 [6 per cell]
Pm  0.0121  0.5061  0.2344 [18 per cell]
Si  0.0000  0.5000  0.5000 [9 per cell]
Os  0.0000  0.0000  0.5000 [3 per cell]
Br  0.0000  0.0000  0.0000 [3 per cell]
Br  0.0000  0.5000  0.0000 [9 per cell]

Record 3
Here is crystalline Pm8SiOs3Br4 at its relaxed geometry from the Alexandria database. Energies are from GGA-PBE.

Lattice parameters (Å, degrees): 8.3263 8.3263 23.0057 90.00 90.00 120.00
Space group R-3m (No. 166, hexagonal axes)
Symmetry-distinct sites (fractional):
Pm  0.0000  0.0000  0.2347 [6 per cell]
Pm  0.0125  0.5063  0.7685 [18 per cell]
Si  0.0000  0.0000  0.5000 [3 per cell]
Os  0.0000  0.5000  0.5000 [9 per cell]
Br  0.0000  0.0000  0.0000 [3 per cell]
Br  0.0000  0.5000  0.0000 [9 per cell]

Record 4
Here is crystalline PmThOsBr at its relaxed geometry from the Alexandria database. Energies are from GGA-PBE.

Lattice parameters (Å, degrees): 4.1461 4.1461 23.7609 90.00 90.00 120.00
Space group R3m (No. 160, hexagonal axes)
Symmetry-distinct sites (fractional):
Pm  0.0000  0.0000  0.0000 [3 per cell]
Th  0.0000  0.0000  0.7918 [3 per cell]
Os  0.0000  0.0000  0.4003 [3 per cell]
Br  0.0000  0.0000  0.2303 [3 per cell]

In the order shown, the computed energy relative to the elements, uncorrected values come out to -1.18 -0.96 -0.76 -0.76 eV/atom.
In the order shown, the computed calculated volume values come out to 217 1376 1381 354 Å³ per cell.